Record 1
VASP calculation (PBE-GGA) on a geometry-optimized LiCrBi2Se structure.

Computed properties:
Theoretical density ... 6.6 Mg/m³
Formation energy without anion corrections ... 0.934 eV/f.u.
Uncorrected energy ... -4.370 eV/atom
DOS at the Fermi energy ... 0.92 states/eV/atom
SG ... P4/mmm
Energy above the lowest structure with this stoichiometry ... 0.00 eV per formula unit
M_tot ... 2.1 μB/f.u.

Geometry as POSCAR:
```
LiCrBi2Se
1.0
5.428 0.000 0.000
0.000 5.428 0.000
0.000 0.000 4.712
Li Cr Bi Se
1 1 2 1
Cartesian
0.000 0.000 0.000
2.714 2.714 2.356
0.000 2.714 2.356
2.714 0.000 2.356
2.714 2.714 0.000
```

=====

Record 2
VASP calculation (PBE-GGA) on a geometry-optimized LiCrBiSe3 structure.

Computed properties:
Theoretical density ... 6.3 Mg/m³
Formation energy without anion corrections ... -2.981 eV/f.u.
Uncorrected energy ... -4.809 eV/atom
DOS at the Fermi energy ... 0.26 states/eV/atom
SG ... P2_1/m
M_tot ... 4.0 μB/f.u.

Geometry as POSCAR:
```
LiCrBiSe3
1.0
7.939 0.000 0.000
0.000 3.990 0.000
-2.331 0.000 8.363
Li Cr Bi Se
2 2 2 6
Cartesian
0.529 0.997 0.731
5.080 2.992 7.633
1.820 2.992 2.839
3.788 0.997 5.525
-0.150 0.997 6.160
5.758 2.992 2.203
0.021 0.997 3.146
1.909 2.992 0.183
2.021 2.992 5.393
3.587 0.997 2.971
3.699 0.997 8.181
5.587 2.992 5.217
```